Entry 1:
This record from Alexandria describes a geometry-optimized Mn2InSe structure. The functional is GGA-PBE.

Computed properties:
symmetry = P2/m
calculated density = 6.11 g cm⁻³
E_form (uncorrected) = 56 kJ/mol of formula units

abc: 3.195 3.999 6.458
angles: 89.91 90.00 90.00
Last column: magnetic moment on the atom in μB.
Element x y z (fractional)
Mn 0.000 0.249 0.958  3.44
Se 0.500 0.250 0.250  -0.01
Mn 0.000 0.251 0.542  3.44
In 0.500 0.750 0.750  -0.16

=====

Entry 2:
This record from Alexandria describes a geometry-optimized B2MoN structure. The functional is GGA-PBE.

Computed properties:
symmetry = I-42d
calculated density = 6.18 g cm⁻³
E_form (uncorrected) = 139 kJ/mol of formula units

abc: 5.035 5.035 4.521
angles: 56.16 56.16 90.00
Element x y z (fractional)
B 0.375 0.488 0.750
B 0.875 0.762 0.750
Mo 0.000 0.000 0.000
B 0.512 0.125 0.250
N 0.500 0.500 0.000
B 0.238 0.625 0.250
Mo 0.750 0.250 0.500
N 0.250 0.750 0.500

=====

Entry 3:
This record from Alexandria describes a geometry-optimized SrPuAg2 structure. The functional is GGA-PBE.

Computed properties:
symmetry = P4/mmm
calculated density = 8.30 g cm⁻³
DFT total energy = -5.4788 eV per atom

abc: 3.748 3.748 7.791
angles: 90.00 90.00 90.00
Last column: magnetic moment on the atom in μB.
Element x y z (fractional)
Ag 0.000 0.000 0.772  0.03
Sr 0.500 0.500 0.500  0.02
Ag 0.000 0.000 0.228  0.03
Pu 0.500 0.500 0.000  5.52

=====

Entry 4:
This record from Alexandria describes a geometry-optimized HfNb2V structure. The functional is GGA-PBE.

Computed properties:
symmetry = P2_1/m
calculated density = 9.32 g cm⁻³
DFT total energy = -9.6503 eV per atom

abc: 3.316 5.689 8.199
angles: 90.00 90.00 107.02
Element x y z (fractional)
Nb 0.636 0.272 0.453
V 0.769 0.537 0.750
Nb 0.636 0.272 0.047
V 0.231 0.463 0.250
Nb 0.364 0.728 0.953
Hf 0.953 0.906 0.250
Hf 0.047 0.094 0.750
Nb 0.364 0.728 0.547

=====

Entry 5:
This record from Alexandria describes a geometry-optimized MgNi structure. The functional is GGA-PBE.

Computed properties:
symmetry = Pmmn
calculated density = 4.76 g cm⁻³
DFT total energy = -3.6644 eV per atom

abc: 2.847 4.537 4.488
angles: 90.00 90.00 90.00
Element x y z (fractional)
Mg 0.500 0.500 0.802
Ni 0.500 0.000 0.510
Mg 0.000 0.000 0.031
Ni 0.000 0.500 0.323